1.
The following is a DFT calculation (GGA-PBE) of a relaxed La2BeSb crystal.

abc: 8.121 8.121 6.807
angles: 53.38 53.38 90.00
Element x y z (fractional)
La 0.375 0.407 0.750
La 0.157 0.625 0.250
La 0.875 0.843 0.750
La 0.593 0.125 0.250
Sb 0.000 0.000 0.000
Sb 0.750 0.250 0.500
Be 0.500 0.500 0.000
Be 0.250 0.750 0.500

Values from the calculation:
Raw formation energy (meV per atom): -132
ΔE to the lowest computed polymorph (meV per atom): 372

---

2.
The following is a DFT calculation (GGA-PBE) of a relaxed LaBeSb2 crystal.

abc: 5.973 5.973 5.973
angles: 46.35 46.35 46.35
Element x y z (fractional)
Sb 0.967 0.967 0.967
Sb 0.533 0.533 0.533
Be 0.250 0.250 0.250
La 0.750 0.750 0.750

Values from the calculation:
Raw formation energy (meV per atom): -207
ΔE to the lowest computed polymorph (meV per atom): 255

---

3.
The following is a DFT calculation (GGA-PBE) of a relaxed LaBeSb2 crystal.

abc: 6.048 6.048 6.048
angles: 137.23 137.23 62.08
Element x y z (fractional)
Sb 0.000 0.000 0.000
Sb 0.250 0.750 0.500
Be 0.500 0.500 0.000
La 0.750 0.250 0.500

Values from the calculation:
Raw formation energy (meV per atom): -152
ΔE to the lowest computed polymorph (meV per atom): 310